This record from the Alexandria database describes a relaxed structure of SiBiI2O. The functional is GGA-PBE.

Cell: 5.9294 5.9294 3.5672 Å, 90.00 90.00 90.00°
Closest atoms and distances in Å follow each position.
Element x y z (fractional)
I 0.0000 0.5000 0.0000  2 Si 2.96
I 0.5000 0.0000 0.0000  2 Si 2.96
Si 0.0000 0.0000 0.0000  2 O 1.78
Bi 0.5000 0.5000 0.5000  8 I 3.46, 2 Bi 3.57
O 0.0000 0.0000 0.5000  2 Si 1.78

Properties
Formation energy without anion corrections in eV/atom: -0.28
Total energy in eV per atom: -3.75
Total magnetization in μB/f.u.: 0.00
Space-group type: P4/mmm
E above lowest polymorph in eV/atom: 0.0000


This record from the Alexandria database describes a relaxed structure of SnBiI2O. The functional is GGA-PBE.

Cell: 6.3358 6.3358 4.3077 Å, 90.00 90.00 90.00°
Closest atoms and distances in Å follow each position.
Element x y z (fractional)
I 0.0000 0.5000 0.0000  2 Bi 3.17
I 0.5000 0.0000 0.0000  2 Bi 3.17
Bi 0.0000 0.0000 0.0000  2 O 2.15
O 0.0000 0.0000 0.5000  2 Bi 2.15
Sn 0.5000 0.5000 0.5000  8 I 3.83

Properties
Formation energy without anion corrections in eV/atom: -0.15
Total energy in eV per atom: -3.34
Total magnetization in μB/f.u.: 0.59
Space-group type: P4/mmm
E above lowest polymorph in eV/atom: 0.0380


This record from the Alexandria database describes a relaxed structure of SnBiIO6. The functional is GGA-PBE.

Cell: 5.5553 5.5553 10.0106 Å, 90.00 90.00 120.00°
Closest atoms and distances in Å follow each position.
Element x y z (fractional)
Sn 0.6667 0.3333 0.2500  6 O 2.10
Sn 0.3333 0.6667 0.7500  6 O 2.10
Bi 0.0000 0.0000 0.0000  6 O 2.42
Bi 0.0000 0.0000 0.5000  6 O 2.42
I 0.3333 0.6667 0.2500  6 O 2.12
I 0.6667 0.3333 0.7500  6 O 2.12
O 0.6427 0.6395 0.1371  1 Sn 2.10, 1 I 2.12
O 0.9968 0.3573 0.1371  1 Sn 2.10, 1 I 2.12
O 0.3573 0.9968 0.6371  1 Sn 2.10, 1 I 2.12
O 0.0032 0.6427 0.8629  1 Sn 2.10, 1 I 2.12
O 0.3605 0.3573 0.3629  1 Sn 2.10, 1 I 2.12
O 0.9968 0.6395 0.3629  1 Sn 2.10, 1 I 2.12
O 0.6395 0.9968 0.8629  1 Sn 2.10, 1 I 2.12
O 0.6427 0.0032 0.3629  1 Sn 2.10, 1 I 2.12
O 0.0032 0.3605 0.6371  1 Sn 2.10, 1 I 2.12
O 0.3605 0.0032 0.1371  1 Sn 2.10, 1 I 2.12
O 0.6395 0.6427 0.6371  1 Sn 2.10, 1 I 2.12
O 0.3573 0.3605 0.8629  1 Sn 2.10, 1 I 2.12

Properties
Formation energy without anion corrections in eV/atom: -0.92
Total energy in eV per atom: -5.28
Total magnetization in μB/f.u.: 0.00
Space-group type: P-31c


This record from the Alexandria database describes a relaxed structure of SnBiI2O. The functional is GGA-PBE.

Cell: 6.2370 6.2370 4.0156 Å, 90.00 90.00 90.00°
Closest atoms and distances in Å follow each position.
Element x y z (fractional)
I 0.0000 0.5000 0.0000  2 Sn 3.12
I 0.5000 0.0000 0.0000  2 Sn 3.12
Bi 0.5000 0.5000 0.5000  8 I 3.71, 2 Bi 4.02
O 0.0000 0.0000 0.5000  2 Sn 2.01
Sn 0.0000 0.0000 0.0000  2 O 2.01

Properties
Formation energy without anion corrections in eV/atom: -0.19
Total energy in eV per atom: -3.37
Total magnetization in μB/f.u.: 0.00
Space-group type: P4/mmm
E above lowest polymorph in eV/atom: 0.0000


Question: Which value of total magnetization does entry 2 give?
Answer: 0.59 μB/f.u.


Question: The lowest formation energy without anion corrections belongs to which entry?
Answer: SnBiIO6


Question: Among the records above, which one has the lowest formation energy without anion corrections?
Answer: SnBiIO6